1.
# LaNpTe2 | Alexandria via LeMat-Bulk | PBE | relaxed
data_LaNpTe2
_chemical_formula_sum 'La3 Np3 Te6'
_cell_length_a 4.4716
_cell_length_b 4.4716
_cell_length_c 22.1566
_cell_angle_alpha 90.00
_cell_angle_beta 90.00
_cell_angle_gamma 120.00
_symmetry_space_group_name_H-M 'R -3 m'
_symmetry_Int_Tables_number 166
_symmetry_space_group_name_Hall '-R 3 2"'
loop_
_atom_site_label
_atom_site_type_symbol
_atom_site_fract_x
_atom_site_fract_y
_atom_site_fract_z
La1 La 0.0000 0.0000 0.0000
Np1 Np 0.0000 0.0000 0.5000
Te1 Te 0.0000 0.0000 0.2458
# formation energy without anion corrections: -1.08 eV/atom

---

2.
# LaNpTe2 | Alexandria via LeMat-Bulk | PBE | relaxed
data_LaNpTe2
_chemical_formula_sum 'La1 Np1 Te2'
_cell_length_a 5.498
_cell_length_b 5.498
_cell_length_c 3.842
_cell_angle_alpha 90.00
_cell_angle_beta 90.00
_cell_angle_gamma 90.00
_symmetry_space_group_name_H-M 'P 4/m m m'
_symmetry_Int_Tables_number 123
_symmetry_space_group_name_Hall '-P 4 2'
loop_
_atom_site_label
_atom_site_type_symbol
_atom_site_fract_x
_atom_site_fract_y
_atom_site_fract_z
La1 La 0.000 0.000 0.000
Np1 Np 0.500 0.500 0.000
Te1 Te 0.000 0.500 0.500
# formation energy without anion corrections: -0.95 eV/atom

---

3.
# LaNpTe3 | Alexandria via LeMat-Bulk | PBE | relaxed
data_LaNpTe3
_chemical_formula_sum 'La4 Np4 Te12'
_cell_length_a 7.431
_cell_length_b 18.063
_cell_length_c 5.831
_cell_angle_alpha 90.00
_cell_angle_beta 90.00
_cell_angle_gamma 90.00
_symmetry_space_group_name_H-M 'C m m m'
_symmetry_Int_Tables_number 65
_symmetry_space_group_name_Hall '-C 2 2'
loop_
_atom_site_label
_atom_site_type_symbol
_atom_site_fract_x
_atom_site_fract_y
_atom_site_fract_z
La1 La 0.000 0.188 0.000
Np1 Np 0.000 0.384 0.500
Te1 Te 0.000 0.361 0.000
Te2 Te 0.223 0.000 0.500
Te3 Te 0.250 0.250 0.500
# formation energy without anion corrections: -0.71 eV/atom